VASP calculation (PBE) on a relaxed SrLi2Cl crystal.

The structure in extended XYZ format:
```
4
Lattice="3.9722 0.0000 0.0000 0.0000 3.9722 0.0000 0.0000 0.0000 8.3345" Properties=species:S:1:pos:R:3 pbc="T T T"
Sr 0.0000 0.0000 0.0000
Li 0.0000 0.0000 4.9562
Li 1.9861 1.9861 5.9057
Cl 1.9861 1.9861 1.1464
```

Electronic total energy in eV/f.u.: -10.2
Symmetry: No. 99
Distance to the lowest polymorph of the same formula in meV per atom: 23
Uncorrected formation energy in eV/atom: -0.708
Volume in Å³ per atom: 32.88



VASP calculation (PBE) on a relaxed ScCrMo2 crystal.

The structure in extended XYZ format:
```
4
Lattice="3.0584 0.0000 0.0000 0.0000 3.0584 0.0000 0.0000 0.0000 6.8795" Properties=species:S:1:pos:R:3 pbc="T T T"
Sc 0.0000 0.0000 0.0000
Cr 0.0000 0.0000 3.4397
Mo 1.5292 1.5292 1.9903
Mo 1.5292 1.5292 4.8892
```

Electronic total energy in eV/f.u.: -36.9
Symmetry: No. 123
Distance to the lowest polymorph of the same formula in meV per atom: 43
Volume in Å³ per atom: 16.09



VASP calculation (PBE) on a relaxed GaGeNO2 crystal.

The structure in extended XYZ format:
```
5
Lattice="3.6678 0.0000 0.0000 0.0000 3.6678 0.0000 0.0000 0.0000 4.0053" Properties=species:S:1:pos:R:3 pbc="T T T"
Ga 0.0000 0.0000 0.0000
Ge 1.8339 1.8339 2.0026
N 1.8339 1.8339 0.0000
O 0.0000 1.8339 2.0026
O 1.8339 0.0000 2.0026
```

Electronic total energy in eV/f.u.: -26.9
Symmetry: No. 123
Uncorrected formation energy in eV/atom: -0.197
Volume in Å³ per atom: 10.78



VASP calculation (PBE) on a relaxed HfRePOs crystal.

The structure in extended XYZ format:
```
4
Lattice="4.7626 -1.5409 0.0000 4.7626 1.5409 0.0000 -1.3148 0.0000 4.3741" Properties=species:S:1:pos:R:3 pbc="T T T"
Hf 0.0000 0.0000 0.0000
Re 2.7386 0.0000 1.9172
P 1.2986 0.0000 4.0186
Os 5.3126 0.0000 2.4555
```

Electronic total energy in eV/f.u.: -40.5
Symmetry: No. 8
Distance to the lowest polymorph of the same formula in meV per atom: 0
Volume in Å³ per atom: 16.05



VASP calculation (PBE) on a relaxed DyEr3Tl crystal.

The structure in extended XYZ format:
```
10
Lattice="2.3911 -12.6127 0.0000 2.3911 12.6127 0.0000 0.0000 0.0000 4.7633" Properties=species:S:1:pos:R:3 pbc="T T T"
Dy 2.3911 8.8503 3.5725
Dy 2.3911 -8.8503 1.1908
Er 2.3911 11.4163 1.1908
Er 2.3911 6.2856 1.1908
Er 2.3911 1.3010 1.1908
Er 2.3911 -1.3010 3.5725
Er 2.3911 -6.2856 3.5725
Er 2.3911 -11.4163 3.5725
Tl 2.3911 3.8280 3.5725
Tl 2.3911 -3.8280 1.1908
```

Electronic total energy in eV/f.u.: -21.2
Symmetry: No. 63
Distance to the lowest polymorph of the same formula in meV per atom: 0
Volume in Å³ per atom: 28.73



VASP calculation (PBE) on a relaxed Tl3MoPt crystal.

The structure in extended XYZ format:
```
5
Lattice="5.3320 0.0000 0.0000 0.0000 5.3320 0.0000 0.0000 0.0000 5.3320" Properties=species:S:1:pos:R:3 pbc="T T T"
Tl 0.0000 0.0000 2.6660
Tl 0.0000 2.6660 0.0000
Tl 2.6660 0.0000 0.0000
Mo 2.6660 2.6660 2.6660
Pt 0.0000 0.0000 0.0000
```

Electronic total energy in eV/f.u.: -19.3
Symmetry: No. 221
Distance to the lowest polymorph of the same formula in meV per atom: 0
Volume in Å³ per atom: 30.32